--- w ---
The following is a DFT calculation (PBE) of a geometry-optimized Er2Tm3Al2 structure.

Summary:
theoretical density: 8.2 g cm⁻³
crystal system: monoclinic
symmetry: P2/m, No. 10

The structure in POSCAR format:
```
Er2Tm3Al2
1.0
4.5774 0.0000 0.0000
0.0000 3.3118 0.0000
-2.2879 0.0000 11.8929
Er Tm Al
2 3 2
Direct
0.2078 0.0000 0.4167
0.7922 0.0000 0.5833
0.3679 0.5000 0.7322
0.5000 0.5000 0.0000
0.6321 0.5000 0.2678
0.0669 0.0000 0.1348
0.9331 0.0000 0.8652
```


--- x ---
The following is a DFT calculation (PBE) of a geometry-optimized Er2Tm3Al2 structure.

Summary:
theoretical density: 8.2 g cm⁻³
crystal system: triclinic
symmetry: P-1, No. 2

The structure in POSCAR format:
```
Er2Tm3Al2
1.0
5.2029 0.0000 0.0000
-2.5987 4.5083 0.0000
-0.0055 -3.0009 7.6951
Er Tm Al
2 3 2
Direct
0.0811 0.1625 0.2441
0.9189 0.8375 0.7559
0.3478 0.6956 0.0434
0.5000 0.0000 0.5000
0.6522 0.3044 0.9566
0.2183 0.4359 0.6534
0.7817 0.5641 0.3466
```


Relative to the most stable one, in meV/atom, the structures come out at w 159; x 0.


--- w ---
The following is a DFT calculation (PBE) of a geometry-optimized YErTmAl structure.

Summary:
theoretical density: 7.1 g cm⁻³
crystal system: orthorhombic
symmetry: Pmmm, No. 47

The structure in POSCAR format:
```
YErTmAl
1.0
4.7128 0.0000 0.0000
0.0000 4.7234 0.0000
0.0000 0.0000 4.7526
Y Er Tm Al
1 1 1 1
Direct
0.0000 0.0000 0.0000
0.0000 0.5000 0.5000
0.5000 0.0000 0.5000
0.5000 0.5000 0.0000
```


--- x ---
The following is a DFT calculation (PBE) of a geometry-optimized YErTmAl structure.

Summary:
theoretical density: 7.1 g cm⁻³
crystal system: cubic
symmetry: F-43m, No. 216

The structure in POSCAR format:
```
YErTmAl
1.0
0.0000 3.7577 3.7577
3.7577 0.0000 3.7577
3.7577 3.7577 0.0000
Y Er Tm Al
1 1 1 1
Direct
0.0000 0.0000 0.0000
0.5000 0.5000 0.5000
0.7500 0.7500 0.7500
0.2500 0.2500 0.2500
```


Relative to the most stable one, in meV/atom, the structures come out at w 0; x 125.


--- w ---
The following is a DFT calculation (PBE) of a geometry-optimized ErTmAlZn structure.

Summary:
theoretical density: 8.0 g cm⁻³
crystal system: tetragonal
symmetry: P4mm, No. 99

The structure in POSCAR format:
```
ErTmAlZn
1.0
3.5335 0.0000 0.0000
0.0000 3.5335 0.0000
0.0000 0.0000 7.1366
Er Tm Al Zn
1 1 1 1
Direct
0.0000 0.0000 0.0000
0.0000 0.0000 0.5104
0.5000 0.5000 0.2566
0.5000 0.5000 0.7521
```


--- x ---
The following is a DFT calculation (PBE) of a geometry-optimized ErTmAlZn structure.

Summary:
theoretical density: 8.0 g cm⁻³
crystal system: cubic
symmetry: F-43m, No. 216

The structure in POSCAR format:
```
ErTmAlZn
1.0
0.0000 3.5493 3.5493
3.5493 0.0000 3.5493
3.5493 3.5493 0.0000
Er Tm Al Zn
1 1 1 1
Direct
0.0000 0.0000 0.0000
0.5000 0.5000 0.5000
0.7500 0.7500 0.7500
0.2500 0.2500 0.2500
```


Relative to the most stable one, in meV/atom, the structures come out at w 0; x 9.


--- w ---
The following is a DFT calculation (PBE) of a geometry-optimized Er2AlV structure.

Summary:
theoretical density: 7.6 g cm⁻³
crystal system: cubic
symmetry: Fm-3m, No. 225

The structure in POSCAR format:
```
Er2AlV
1.0
0.0000 3.5640 3.5640
3.5640 0.0000 3.5640
3.5640 3.5640 0.0000
Er Al V
2 1 1
Direct
0.2500 0.2500 0.2500
0.7500 0.7500 0.7500
0.0000 0.0000 0.0000
0.5000 0.5000 0.5000
```


--- x ---
The following is a DFT calculation (PBE) of a geometry-optimized Er2AlV structure.

Summary:
theoretical density: 7.5 g cm⁻³
crystal system: tetragonal
symmetry: P4/mmm, No. 123

The structure in POSCAR format:
```
Er2AlV
1.0
4.9711 0.0000 0.0000
0.0000 4.9711 0.0000
0.0000 0.0000 3.6856
Er Al V
2 1 1
Direct
0.0000 0.5000 0.0000
0.5000 0.0000 0.0000
0.0000 0.0000 0.5000
0.5000 0.5000 0.5000
```


Relative to the most stable one, in meV/atom, the structures come out at w 0; x 9.